The following is a PBE calculation of a relaxed structure of LiSb2P, from Alexandria via LeMat-Bulk.

Cell lengths 3.7136, 3.7136, 22.9367 Å; angles 90.00, 90.00, 120.00 degrees
Space group R-3m (No. 166, hexagonal axes)
Unique sites:
Li 0.0000 0.0000 0.0000 x3
Sb 0.0000 0.0000 0.2411 x6
P 0.0000 0.0000 0.5000 x3

Computed properties:
For the final energy, the calculation gives -47.45 eV per cell. As for the magnetization: 0.00 Bohr magnetons per cell. As for the calculated volume: 22.83 Å³ per atom. The value obtained for the formation energy (no corrections) is -0.062 eV/atom.

***

The following is a PBE calculation of a relaxed structure of TaRe2Ag, from Alexandria via LeMat-Bulk.

Cell lengths 4.033, 4.033, 7.903 Å; angles 90.00, 90.00, 90.00 degrees
Space group I-4m2 (No. 119)
Unique sites:
Ta 0.000 0.000 0.000 x2
Re 0.000 0.000 0.500 x2
Re 0.000 0.500 0.250 x2
Ag 0.000 0.500 0.750 x2

Computed properties:
For the final energy, the calculation gives -76.58 eV per cell. As for the magnetization: 0.00 Bohr magnetons per cell. The calculation puts the formation energy at 0.3275 eV per atom. As for the calculated volume: 16.07 Å³ per atom. The calculation puts the energy above the most stable polymorph in this dataset at 94 meV per atom.

***

The following is a PBE calculation of a relaxed structure of HfNbCu, from Alexandria via LeMat-Bulk.

Cell lengths 2.912, 2.912, 12.360 Å; angles 90.00, 90.00, 90.00 degrees
Space group I4mm (No. 107)
Unique sites:
Hf 0.000 0.000 0.000 x2
Nb 0.000 0.000 0.315 x2
Cu 0.000 0.000 0.660 x2

Computed properties:
For the final energy, the calculation gives -48.13 eV per cell. As for the magnetization: 0.00 Bohr magnetons per cell. The calculation puts the formation energy at 0.0179 eV per atom. As for the calculated volume: 17.47 Å³ per atom. The calculation puts the energy above the most stable polymorph in this dataset at 138 meV per atom.

***

The following is a PBE calculation of a relaxed structure of HfV2HPd, from Alexandria via LeMat-Bulk.

Cell lengths 3.820, 3.820, 4.511 Å; angles 90.00, 90.00, 90.00 degrees
Space group P4/mmm (No. 123)
Unique sites:
Hf 0.000 0.000 0.000 x1
V 0.000 0.500 0.500 x2
H 0.000 0.000 0.500 x1
Pd 0.500 0.500 0.000 x1

Computed properties:
For the final energy, the calculation gives -37.56 eV per cell. As for the magnetization: 0.00 Bohr magnetons per cell. As for the calculated volume: 13.17 Å³ per atom.

***

The following is a PBE calculation of a relaxed structure of BeOs2Au2, from Alexandria via LeMat-Bulk.

Cell lengths 5.910, 5.910, 4.469 Å; angles 90.00, 90.00, 90.00 degrees
Space group P4/mbm (No. 127)
Unique sites:
Be 0.000 0.000 0.000 x2
Os 0.144 0.356 0.000 x4
Au 0.174 0.674 0.500 x4

Computed properties:
For the final energy, the calculation gives -59.96 eV per cell. As for the magnetization: 0.52 Bohr magnetons per cell. The calculation puts the formation energy at 0.5517 eV per atom. As for the calculated volume: 15.61 Å³ per atom. The calculation puts the energy above the most stable polymorph in this dataset at 0 meV per atom.

***

The following is a PBE calculation of a relaxed structure of In5SnI8, from Alexandria via LeMat-Bulk.

Cell lengths 10.254, 10.254, 10.218 Å; angles 90.00, 90.00, 90.00 degrees
Space group I-4 (No. 82)
Unique sites:
In 0.000 0.000 0.000 x2
In 0.141 0.742 0.627 x8
Sn 0.000 0.500 0.250 x2
I 0.063 0.805 0.312 x8
I 0.069 0.678 0.952 x8

Computed properties:
For the final energy, the calculation gives -71.43 eV per cell. As for the magnetization: 0.00 Bohr magnetons per cell. As for the calculated volume: 38.37 Å³ per atom. The value obtained for the formation energy (no corrections) is -0.401 eV/atom.

***

The following is a PBE calculation of a relaxed structure of Cu4Pt5Au, from Alexandria via LeMat-Bulk.

Cell lengths 8.969, 8.043, 4.606 Å; angles 90.00, 99.59, 90.00 degrees
Space group C2/m (No. 12)
Unique sites:
Cu 0.000 0.167 0.000 x4
Cu 0.247 0.000 0.251 x4
Pt 0.000 0.000 0.500 x2
Pt 0.247 0.169 0.747 x8
Au 0.000 0.500 0.000 x2

Computed properties:
For the final energy, the calculation gives -98.74 eV per cell. As for the magnetization: 0.00 Bohr magnetons per cell. The calculation puts the formation energy at 0.0498 eV per atom. As for the calculated volume: 16.38 Å³ per atom.

***

The following is a PBE calculation of a relaxed structure of KLaCo, from Alexandria via LeMat-Bulk.

Cell lengths 4.3436, 4.3436, 6.4382 Å; angles 90.00, 90.00, 120.00 degrees
Space group P3m1 (No. 156)
Unique sites:
K 0.0000 0.0000 0.0000 x1
La 0.6667 0.3333 0.5004 x1
Co 0.3333 0.6667 0.5008 x1

Computed properties:
For the final energy, the calculation gives -11.83 eV per cell. As for the magnetization: 0.00 Bohr magnetons per cell. The calculation puts the formation energy at 0.4333 eV per atom. As for the calculated volume: 35.06 Å³ per atom. The calculation puts the energy above the most stable polymorph in this dataset at 83 meV per atom.

***

What did the third record say?
The following is a PBE calculation of a relaxed structure of HfNbCu, from Alexandria via LeMat-Bulk.

Cell lengths 2.912, 2.912, 12.360 Å; angles 90.00, 90.00, 90.00 degrees
Space group I4mm (No. 107)
Unique sites:
Hf 0.000 0.000 0.000 x2
Nb 0.000 0.000 0.315 x2
Cu 0.000 0.000 0.660 x2

Computed properties:
For the final energy, the calculation gives -48.13 eV per cell. As for the magnetization: 0.00 Bohr magnetons per cell. The calculation puts the formation energy at 0.0179 eV per atom. As for the calculated volume: 17.47 Å³ per atom. The calculation puts the energy above the most stable polymorph in this dataset at 138 meV per atom.

***

What did the first record say?
The following is a PBE calculation of a relaxed structure of LiSb2P, from Alexandria via LeMat-Bulk.

Cell lengths 3.7136, 3.7136, 22.9367 Å; angles 90.00, 90.00, 120.00 degrees
Space group R-3m (No. 166, hexagonal axes)
Unique sites:
Li 0.0000 0.0000 0.0000 x3
Sb 0.0000 0.0000 0.2411 x6
P 0.0000 0.0000 0.5000 x3

Computed properties:
For the final energy, the calculation gives -47.45 eV per cell. As for the magnetization: 0.00 Bohr magnetons per cell. As for the calculated volume: 22.83 Å³ per atom. The value obtained for the formation energy (no corrections) is -0.062 eV/atom.

***

- Look up the magnetization of the third one.
  0.00 Bohr magnetons per cell